Entry 1:
Entry from the Alexandria database: a geometry-optimized KHg2Te structure (PBE-GGA).

Values from the calculation:
Total magnetic moment, μB/f.u.: 0.0
E_form (uncorrected), kJ/mol of atoms: -11
DOS at the Fermi energy, states/eV/cell: 1.91

abc: 10.4875 10.4875 10.4875
angles: 21.21 21.21 21.21
Closest atoms and distances in Å follow each position.
Fractional positions:
Te 0.7500 0.7500 0.7500  6 Hg 3.34
Hg 0.4976 0.4976 0.4976  3 Te 3.34, 3 K 3.45
Hg 0.0024 0.0024 0.0024  3 Te 3.34, 3 K 3.45
K 0.2500 0.2500 0.2500  6 Hg 3.45, 6 K 3.86

=====

Entry 2:
Entry from the Alexandria database: a geometry-optimized KHgTe2 structure (PBE-GGA).

Values from the calculation:
Total magnetic moment, μB/f.u.: 0.0
E_form (uncorrected), kJ/mol of atoms: -29
DOS at the Fermi energy, states/eV/cell: 1.75

abc: 6.8541 6.8541 3.2745
angles: 89.65 89.65 123.25
Closest atoms and distances in Å follow each position.
Fractional positions:
Te 0.0000 0.0000 0.0000  4 Te 3.26-3.27
Te 0.5000 0.5000 0.0000  4 Te 3.26-3.27
K 0.0000 0.5000 0.5000  2 Hg 3.26, 2 K 3.27
Hg 0.5000 0.0000 0.5000  2 K 3.26, 2 Hg 3.27